Density functional theory data (PBE) for a geometry-optimized SrFe4Co structure.

Summary:
* calculated volume: 15.23 A^3/atom
* raw total energy: -0.4868 Ry/atom

a = 5.056 Å, b = 5.056 Å, c = 5.056 Å
α = 60.00°, β = 60.00°, γ = 60.00°
Site moments in Bohr magnetons follow the coordinates.
Fractional positions:
Fe 0.124 0.625 0.625  2.58
Sr 0.250 0.250 0.250  -0.08
Co 0.000 0.000 0.000  1.89
Fe 0.625 0.124 0.625  2.58
Fe 0.625 0.625 0.124  2.58
Fe 0.625 0.625 0.625  2.58